! BeBRu (PBE-GGA, optimized geometry); values from VASP
! Distance to the lowest polymorph of the same formula ... 0.168 eV/atom
! Calculated density ... 7.219 g/cm³
! Spin magnetization ... 0.0 μB/f.u.
&SYSTEM
  ibrav = 0, nat = 12, ntyp = 3
/
ATOMIC_SPECIES
Ru 101.07 Ru.upf
B 10.81 B.upf
Be 9.01 Be.upf
CELL_PARAMETERS angstrom
5.3316 0.0000 0.0043
0.0000 2.9293 0.0000
-2.8168 0.0000 7.1194
ATOMIC_POSITIONS crystal
Ru 0.4552 0.0000 0.0496
Ru 0.4552 0.5000 0.5496
Ru 0.9777 0.0000 0.3282
Ru 0.9777 0.5000 0.8282
B 0.9862 0.0000 0.0452
B 0.9862 0.5000 0.5452
B 0.7862 0.0000 0.5674
B 0.7862 0.5000 0.0674
Be 0.6336 0.0000 0.8137
Be 0.6336 0.5000 0.3137
Be 0.2165 0.0000 0.6939
Be 0.2165 0.5000 0.1939